(1)
# Sc3AgIr (PBE, relaxed)
# Calculated formation energy = 0.674 eV per atom
data_Sc3AgIr
_cell_length_a 4.979
_cell_length_b 4.979
_cell_length_c 4.979
_cell_angle_alpha 90.00
_cell_angle_beta 90.00
_cell_angle_gamma 90.00
_symmetry_space_group_name_H-M 'P m -3 m'
_symmetry_Int_Tables_number 221
_symmetry_space_group_name_Hall '-P 4 2 3'
loop_
_atom_site_label
_atom_site_fract_x
_atom_site_fract_y
_atom_site_fract_z
Sc1 0.000 0.000 0.500
Ag1 0.000 0.000 0.000
Ir1 0.500 0.500 0.500

(2)
# Ac3CoPb2 (PBE, relaxed)
# Calculated formation energy = -0.055 eV per atom
data_Ac3CoPb2
_cell_length_a 3.961
_cell_length_b 5.735
_cell_length_c 18.577
_cell_angle_alpha 90.00
_cell_angle_beta 90.00
_cell_angle_gamma 90.00
_symmetry_space_group_name_H-M 'I m m m'
_symmetry_Int_Tables_number 71
_symmetry_space_group_name_Hall '-I 2 2'
loop_
_atom_site_label
_atom_site_fract_x
_atom_site_fract_y
_atom_site_fract_z
Ac1 0.000 0.000 0.000
Ac2 0.000 0.500 0.152
Co1 0.000 0.500 0.000
Pb1 0.000 0.500 0.338

(3)
# LiMo2Ru2 (PBE, relaxed)
# Calculated formation energy = 0.396 eV per atom
data_LiMo2Ru2
_cell_length_a 4.279
_cell_length_b 4.279
_cell_length_c 10.056
_cell_angle_alpha 90.00
_cell_angle_beta 90.00
_cell_angle_gamma 90.00
_symmetry_space_group_name_H-M 'I 4/m m m'
_symmetry_Int_Tables_number 139
_symmetry_space_group_name_Hall '-I 4 2'
loop_
_atom_site_label
_atom_site_fract_x
_atom_site_fract_y
_atom_site_fract_z
Li1 0.000 0.000 0.000
Mo1 0.000 0.500 0.250
Ru1 0.000 0.000 0.376

(4)
# PrPdPt (PBE, relaxed)
# Calculated formation energy = -0.807 eV per atom
data_PrPdPt
_cell_length_a 5.194
_cell_length_b 8.221
_cell_length_c 5.858
_cell_angle_alpha 90.00
_cell_angle_beta 90.00
_cell_angle_gamma 90.00
_symmetry_space_group_name_H-M 'C m c m'
_symmetry_Int_Tables_number 63
_symmetry_space_group_name_Hall '-C 2c 2'
loop_
_atom_site_label
_atom_site_fract_x
_atom_site_fract_y
_atom_site_fract_z
Pr1 0.000 0.161 0.250
Pd1 0.000 0.194 0.750
Pt1 0.000 0.500 0.000

(5)
# Ga2Ag3Au8 (PBE, relaxed)
# Calculated formation energy = -0.051 eV per atom
data_Ga2Ag3Au8
_cell_length_a 7.350
_cell_length_b 4.467
_cell_length_c 8.367
_cell_angle_alpha 90.00
_cell_angle_beta 115.96
_cell_angle_gamma 90.00
_symmetry_space_group_name_H-M 'P 1 2/m 1'
_symmetry_Int_Tables_number 10
_symmetry_space_group_name_Hall '-P 2y'
loop_
_atom_site_label
_atom_site_fract_x
_atom_site_fract_y
_atom_site_fract_z
Ga1 0.232 0.000 0.456
Ag1 0.000 0.000 0.000
Ag2 0.297 0.500 0.999
Au1 0.133 0.500 0.265
Au2 0.165 0.000 0.756
Au3 0.325 0.500 0.653
Au4 0.411 0.000 0.241

(6)
# Cr2MoRu (PBE, relaxed)
# Calculated formation energy = 0.101 eV per atom
data_Cr2MoRu
_cell_length_a 2.949
_cell_length_b 4.276
_cell_length_c 8.458
_cell_angle_alpha 90.00
_cell_angle_beta 90.00
_cell_angle_gamma 90.00
_symmetry_space_group_name_H-M 'I m m 2'
_symmetry_Int_Tables_number 44
_symmetry_space_group_name_Hall 'I 2 -2'
loop_
_atom_site_label
_atom_site_fract_x
_atom_site_fract_y
_atom_site_fract_z
Cr1 0.000 0.000 0.000
Cr2 0.000 0.500 0.283
Mo1 0.000 0.500 0.755
Ru1 0.000 0.000 0.523

(7)
# LiTbNiAg (PBE, relaxed)
# Calculated formation energy = -0.147 eV per atom
data_LiTbNiAg
_cell_length_a 6.560
_cell_length_b 6.560
_cell_length_c 6.560
_cell_angle_alpha 90.00
_cell_angle_beta 90.00
_cell_angle_gamma 90.00
_symmetry_space_group_name_H-M 'F -4 3 m'
_symmetry_Int_Tables_number 216
_symmetry_space_group_name_Hall 'F -4 2 3'
loop_
_atom_site_label
_atom_site_fract_x
_atom_site_fract_y
_atom_site_fract_z
Li1 0.000 0.000 0.000
Tb1 0.250 0.250 0.750
Ni1 0.000 0.000 0.500
Ag1 0.250 0.250 0.250

(8)
# Pr10Nd4Mg (PBE, relaxed)
# Calculated formation energy = 0.297 eV per atom
data_Pr10Nd4Mg
_cell_length_a 10.116
_cell_length_b 10.116
_cell_length_c 10.688
_cell_angle_alpha 90.00
_cell_angle_beta 90.00
_cell_angle_gamma 90.00
_symmetry_space_group_name_H-M 'I 4/m'
_symmetry_Int_Tables_number 87
_symmetry_space_group_name_Hall '-I 4'
loop_
_atom_site_label
_atom_site_fract_x
_atom_site_fract_y
_atom_site_fract_z
Pr1 0.000 0.500 0.250
Pr2 0.114 0.791 0.162
Nd1 0.060 0.677 0.500
Mg1 0.000 0.000 0.500

(9)
# TbPr2Rh (PBE, relaxed)
# Calculated formation energy = -0.050 eV per atom
data_TbPr2Rh
_cell_length_a 3.7546
_cell_length_b 3.7546
_cell_length_c 32.0416
_cell_angle_alpha 90.00
_cell_angle_beta 90.00
_cell_angle_gamma 120.00
_symmetry_space_group_name_H-M 'R -3 m'
_symmetry_Int_Tables_number 166
_symmetry_space_group_name_Hall '-R 3 2"'
loop_
_atom_site_label
_atom_site_fract_x
_atom_site_fract_y
_atom_site_fract_z
Tb1 0.0000 0.0000 0.0000
Pr1 0.0000 0.0000 0.1095
Rh1 0.0000 0.0000 0.5000

(10)
# CaThGa2Cu2 (PBE, relaxed)
# Calculated formation energy = -0.382 eV per atom
data_CaThGa2Cu2
_cell_length_a 4.4464
_cell_length_b 4.4464
_cell_length_c 7.4488
_cell_angle_alpha 90.00
_cell_angle_beta 90.00
_cell_angle_gamma 120.00
_symmetry_space_group_name_H-M 'P -3 m 1'
_symmetry_Int_Tables_number 164
_symmetry_space_group_name_Hall '-P 3 2"'
loop_
_atom_site_label
_atom_site_fract_x
_atom_site_fract_y
_atom_site_fract_z
Ca1 0.0000 0.0000 0.0000
Th1 0.0000 0.0000 0.5000
Ga1 0.3333 0.6667 0.7353
Cu1 0.3333 0.6667 0.2666

(11)
# LiBeSi2 (PBE, relaxed)
# Raw formation energy = 140 meV/atom
data_LiBeSi2
_cell_length_a 3.653
_cell_length_b 3.653
_cell_length_c 3.675
_cell_angle_alpha 90.00
_cell_angle_beta 90.00
_cell_angle_gamma 90.00
_symmetry_space_group_name_H-M 'P 4/m m m'
_symmetry_Int_Tables_number 123
_symmetry_space_group_name_Hall '-P 4 2'
loop_
_atom_site_label
_atom_site_fract_x
_atom_site_fract_y
_atom_site_fract_z
Li1 0.000 0.000 0.000
Be1 0.500 0.500 0.000
Si1 0.000 0.500 0.500

(12)
# SrPm4Cd5 (PBE, relaxed)
# Calculated formation energy = -0.321 eV per atom
data_SrPm4Cd5
_cell_length_a 3.861
_cell_length_b 3.861
_cell_length_c 19.495
_cell_angle_alpha 90.00
_cell_angle_beta 90.00
_cell_angle_gamma 90.00
_symmetry_space_group_name_H-M 'P 4/m m m'
_symmetry_Int_Tables_number 123
_symmetry_space_group_name_Hall '-P 4 2'
loop_
_atom_site_label
_atom_site_fract_x
_atom_site_fract_y
_atom_site_fract_z
Sr1 0.000 0.000 0.000
Pm1 0.000 0.000 0.208
Pm2 0.000 0.000 0.403
Cd1 0.500 0.500 0.114
Cd2 0.500 0.500 0.305
Cd3 0.500 0.500 0.500